A relaxed structure of LiFe8O12. Source: the Alexandria database, functional PBE with a Hubbard U.

As for the symmetry: P1. The total energy is -134.73 eV per cell.

Unit cell a=5.090 b=5.122 c=8.558 alpha=83.41 beta=88.04 gamma=79.80
Fractional coordinates of all 21 atoms:
Li (0.000, 0.000, 0.000)
Fe (0.157, 0.100, 0.601)
Fe (0.157, 0.594, 0.281)
Fe (0.206, 0.506, 0.825)
Fe (0.412, 0.067, 0.173)
Fe (0.623, 0.620, 0.548)
Fe (0.661, 0.043, 0.770)
Fe (0.682, 0.544, 0.071)
Fe (0.867, 0.118, 0.351)
O (0.033, 0.305, 0.152)
O (0.269, 0.899, 0.385)
O (0.321, 0.768, 0.079)
O (0.375, 0.813, 0.724)
O (0.416, 0.328, 0.644)
O (0.509, 0.273, 0.961)
O (0.524, 0.353, 0.280)
O (0.793, 0.839, 0.216)
O (0.837, 0.930, 0.567)
O (0.866, 0.725, 0.900)
O (0.974, 0.406, 0.459)
O (0.984, 0.234, 0.784)